DFT (PBE) results for a relaxed structure of YRh3.

Cell: 5.508 5.508 4.748 Å, 90.00 90.00 93.80°
Atoms (fractional coordinates):
Y1 0.400 0.600 0.250
Y2 0.600 0.400 0.750
Rh1 0.928 0.072 0.750
Rh2 0.072 0.928 0.250
Rh3 0.065 0.594 0.750
Rh4 0.935 0.406 0.250
Rh5 0.406 0.935 0.750
Rh6 0.594 0.065 0.250

As for the uncorrected energy: -56.89 eV for the cell shown. As for the formation energy: 0.0179 eV per atom. As for the calculated density: 9.19 g cm⁻³.